This record from the Alexandria database describes crystalline Pm2Dy5Th3 at its relaxed geometry. The functional is PBE.

Results
calculated formation energy = 0.44 eV/f.u.
magnetic moment = 0.00 μB/cell
calculated volume = 32.34 Å³/atom
calculated total energy = -5.433 eV/atom

a = 6.1990 Å, b = 6.1990 Å, c = 11.3197 Å
α = 90.03°, β = 90.03°, γ = 48.02°
Positions (direct):
Pm  0.0973  0.0973  0.2978
Pm  0.9027  0.9027  0.7022
Dy  0.1999  0.1999  0.6025
Dy  0.2997  0.2997  0.9019
Dy  0.5000  0.5000  0.5000
Dy  0.7003  0.7003  0.0981
Dy  0.8001  0.8001  0.3975
Th  0.0000  0.0000  0.0000
Th  0.4011  0.4011  0.1986
Th  0.5989  0.5989  0.8014

This record from the Alexandria database describes crystalline RuAu5 at its relaxed geometry. The functional is PBE.

Results
calculated formation energy = 3.59 eV/f.u.
magnetic moment = 2.83 μB/cell
calculated volume = 20.04 Å³/atom
calculated total energy = -3.679 eV/atom

a = 5.3842 Å, b = 5.3842 Å, c = 4.7898 Å
α = 90.00°, β = 90.00°, γ = 120.00°
Positions (direct):
Ru  0.0000  0.0000  0.0000
Au  0.0000  0.5000  0.5000
Au  0.3333  0.6667  0.0000
Au  0.5000  0.0000  0.5000
Au  0.5000  0.5000  0.5000
Au  0.6667  0.3333  0.0000

This record from the Alexandria database describes crystalline Pm2Nd3Sc at its relaxed geometry. The functional is PBE.

Results
calculated formation energy = 0.29 eV/f.u.
magnetic moment = 0.00 μB/cell
calculated volume = 33.48 Å³/atom
calculated total energy = -4.974 eV/atom

a = 8.4541 Å, b = 3.7089 Å, c = 12.8138 Å
α = 90.00°, β = 90.05°, γ = 90.00°
Positions (direct):
Pm  0.0796  0.2500  0.3891
Pm  0.3462  0.7500  0.9419
Pm  0.6538  0.2500  0.0581
Pm  0.9204  0.7500  0.6109
Nd  0.0802  0.2500  0.1112
Nd  0.3446  0.7500  0.5593
Nd  0.3983  0.7500  0.2495
Nd  0.6017  0.2500  0.7505
Nd  0.6554  0.2500  0.4407
Nd  0.9198  0.7500  0.8888
Sc  0.1901  0.2500  0.7506
Sc  0.8099  0.7500  0.2494

This record from the Alexandria database describes crystalline YPuTl at its relaxed geometry. The functional is PBE.

Results
calculated formation energy = -0.12 eV/f.u.
magnetic moment = 0.32 μB/cell
calculated volume = 26.55 Å³/atom
calculated total energy = -7.760 eV/atom

a = 5.7563 Å, b = 5.7563 Å, c = 8.0785 Å
α = 104.41°, β = 104.41°, γ = 38.09°
Positions (direct):
Y  0.0000  0.0000  0.0000
Y  0.6602  0.6602  0.3663
Pu  0.2972  0.2972  0.7162
Pu  0.6773  0.6773  0.8002
Tl  0.3139  0.3139  0.1541
Tl  0.9739  0.9739  0.5313

This record from the Alexandria database describes crystalline Ac3LaTb2Se6 at its relaxed geometry. The functional is PBE.

Results
formation energy (no corrections) = -1848 meV/atom
magnetic moment = 0.00 μB/cell
calculated volume = 28.44 Å³/atom
calculated total energy = -5.800 eV/atom

a = 7.3954 Å, b = 7.3954 Å, c = 7.6301 Å
α = 99.32°, β = 99.32°, γ = 120.16°
Positions (direct):
Ac  0.0000  0.0000  0.0000
Ac  0.3374  0.6626  0.0000
Ac  0.6626  0.3374  0.0000
La  0.5000  0.5000  0.5000
Tb  0.1675  0.8325  0.5000
Tb  0.8325  0.1675  0.5000
Se  0.0800  0.4235  0.2708
Se  0.2305  0.2305  0.7241
Se  0.4235  0.0800  0.2708
Se  0.5765  0.9200  0.7292
Se  0.7695  0.7695  0.2759
Se  0.9200  0.5765  0.7292

This record from the Alexandria database describes crystalline HoTmSn at its relaxed geometry. The functional is PBE.

Results
calculated formation energy = 0.56 eV/f.u.
magnetic moment = 0.00 μB/cell
calculated volume = 31.75 Å³/atom
calculated total energy = -4.163 eV/atom

a = 8.9683 Å, b = 8.9683 Å, c = 8.9683 Å
α = 158.69°, β = 158.69°, γ = 30.32°
Positions (direct):
Ho  0.0000  0.0000  0.0000
Tm  0.8031  0.8031  0.0000
Sn  0.1776  0.1776  0.0000

This record from the Alexandria database describes crystalline Cd4In6Ga at its relaxed geometry. The functional is PBE.

Results
calculated formation energy = 0.83 eV/f.u.
magnetic moment = 0.00 μB/cell
calculated volume = 26.74 Å³/atom
calculated total energy = -2.026 eV/atom

a = 8.2910 Å, b = 8.2910 Å, c = 8.2910 Å
α = 133.57°, β = 133.57°, γ = 67.77°
Positions (direct):
Cd  0.2031  0.2031  0.6585
Cd  0.4554  0.7969  0.0000
Cd  0.5446  0.5446  0.3415
Cd  0.7969  0.4554  0.0000
In  0.0000  0.5000  0.5000
In  0.0441  0.6329  0.0000
In  0.3671  0.3671  0.4112
In  0.5000  0.0000  0.5000
In  0.6329  0.0441  0.0000
In  0.9559  0.9559  0.5888
Ga  0.0000  0.0000  0.0000

This record from the Alexandria database describes crystalline Zr4N2O at its relaxed geometry. The functional is PBE.

Results
formation energy (no corrections) = -1690 meV/atom
magnetic moment = 0.00 μB/cell
calculated volume = 14.08 Å³/atom
calculated total energy = -9.662 eV/atom

a = 6.2971 Å, b = 6.2971 Å, c = 5.6744 Å
α = 116.60°, β = 116.60°, γ = 29.63°
Positions (direct):
Zr  0.1259  0.1259  0.4556
Zr  0.3710  0.3710  0.0335
Zr  0.6290  0.6290  0.9665
Zr  0.8741  0.8741  0.5444
N  0.2560  0.2560  0.2515
N  0.7440  0.7440  0.7485
O  0.0000  0.0000  0.0000